(1)
# PRhSeCl2 GGA-PBE optimized geometry
data_PRhSeCl2
_symmetry_space_group_name_H-M 'P 1'
_symmetry_Int_Tables_number 1
_cell_length_a 4.746
_cell_length_b 4.746
_cell_length_c 5.223
_cell_angle_alpha 90.00
_cell_angle_beta 90.00
_cell_angle_gamma 90.00
loop_
_symmetry_equiv_pos_as_xyz
'x,y,z'
loop_
_atom_site_label
_atom_site_fract_x
_atom_site_fract_y
_atom_site_fract_z
Cl1 0.000 0.500 0.000
Cl2 0.500 0.000 0.000
Rh1 0.500 0.500 0.500
P1 0.000 0.000 0.500
Se1 0.000 0.000 0.000
# Relative energy among the computed polymorphs = 671.5 meV per atom
# Crystal system = tetragonal

=====

(2)
# P2RhSeCl GGA-PBE optimized geometry
data_P2RhSeCl
_symmetry_space_group_name_H-M 'P 1'
_symmetry_Int_Tables_number 1
_cell_length_a 4.803
_cell_length_b 4.803
_cell_length_c 4.625
_cell_angle_alpha 90.00
_cell_angle_beta 90.00
_cell_angle_gamma 90.00
loop_
_symmetry_equiv_pos_as_xyz
'x,y,z'
loop_
_atom_site_label
_atom_site_fract_x
_atom_site_fract_y
_atom_site_fract_z
Cl1 0.000 0.000 0.500
P1 0.000 0.500 0.000
P2 0.500 0.000 0.000
Se1 0.000 0.000 0.000
Rh1 0.500 0.500 0.500
# Relative energy among the computed polymorphs = 815.9 meV per atom
# Crystal system = tetragonal

=====

(3)
# Si2PRhCl GGA-PBE optimized geometry
data_Si2PRhCl
_symmetry_space_group_name_H-M 'P 1'
_symmetry_Int_Tables_number 1
_cell_length_a 4.774
_cell_length_b 4.493
_cell_length_c 4.774
_cell_angle_alpha 90.00
_cell_angle_beta 90.00
_cell_angle_gamma 90.00
loop_
_symmetry_equiv_pos_as_xyz
'x,y,z'
loop_
_atom_site_label
_atom_site_fract_x
_atom_site_fract_y
_atom_site_fract_z
Si1 0.000 0.000 0.500
Si2 0.500 0.000 0.000
Cl1 0.500 0.500 0.500
P1 0.000 0.500 0.000
Rh1 0.000 0.000 0.000
# Crystal system = tetragonal

=====

Calculated formation energy from raw total energies (kJ per mole of atoms), listed in the same order as above: 98.4, 125.2, 33.2